Material: LaAs3Pt
Method: DFT, GGA-PBEsol
State: relaxed

Output
Energy of formation (kcal/mol of atoms): -6.01
Density of states at the Fermi level (states/eV/f.u.): 3.8
Energy (eV per atom): -5.79

Unit cell a=4.8875 b=4.8875 c=4.8875 alpha=90.00 beta=90.00 gamma=90.00
Space group Pm-3m (No. 221)
One atom of each set of equivalent atoms:
La: 0.0000 0.0000 0.0000 [1 per cell]
As: 0.0000 0.5000 0.5000 [3 per cell]
Pt: 0.5000 0.5000 0.5000 [1 per cell]

Material: LaAsPt3
Method: DFT, GGA-PBEsol
State: relaxed

Output
Energy of formation (kcal/mol of atoms): -10.52
Density of states at the Fermi level (states/eV/f.u.): 0.9
Energy (eV per atom): -6.72

Unit cell a=4.7169 b=4.7169 c=4.7169 alpha=90.00 beta=90.00 gamma=90.00
Space group Pm-3m (No. 221)
One atom of each set of equivalent atoms:
La: 0.0000 0.0000 0.0000 [1 per cell]
As: 0.5000 0.5000 0.5000 [1 per cell]
Pt: 0.0000 0.5000 0.5000 [3 per cell]

Material: LaAsPt
Method: DFT, GGA-PBEsol
State: relaxed

Output
Energy of formation (kcal/mol of atoms): -16.05
Density of states at the Fermi level (states/eV/f.u.): 2.3
Energy (eV per atom): -6.50

Unit cell a=4.8678 b=4.9342 c=10.5372 alpha=90.00 beta=90.00 gamma=90.00
Space group Fmm2 (No. 42)
One atom of each set of equivalent atoms:
La: 0.0000 0.0000 0.0000 [4 per cell]
As: 0.0000 0.0000 0.7110 [4 per cell]
Pt: 0.0000 0.0000 0.3121 [4 per cell]

Material: LaAsPt2
Method: DFT, GGA-PBEsol
State: relaxed

Output
Energy of formation (kcal/mol of atoms): -19.23
Density of states at the Fermi level (states/eV/f.u.): 1.9
Energy (eV per atom): -6.93

Unit cell a=4.0312 b=4.1179 c=5.3348 alpha=90.00 beta=90.00 gamma=90.00
Space group Pmmm (No. 47)
One atom of each set of equivalent atoms:
La: 0.0000 0.0000 0.0000 [1 per cell]
As: 0.5000 0.0000 0.5000 [1 per cell]
Pt: 0.5000 0.5000 0.2452 [2 per cell]

| no. | total magnetic moment (μB per formula unit) |
| --- | --- |
| 1 | 0.0 |
| 2 | 0.0 |
| 3 | 0.0 |
| 4 | 0.0 |